Record 1
Density functional theory data (PBE) for an optimized crystal structure of LaBe4Sb.

Size of the total moment ... 0.0000 μB per atom
D(E_F) ... 0.513 states/eV per atom
Total DFT energy (no corrections) ... -21.46 eV per formula unit

Unit cell a=7.3663 b=7.3663 c=7.3663 alpha=90.00 beta=90.00 gamma=90.00
Closest atoms and distances in Å follow each position.
Space group F-43m (No. 216)
Inequivalent atoms, fractional coordinates:
1 La 0.0000 0.0000 0.0000 (multiplicity 4)  12 Be 3.03, 4 Sb 3.19
2 Be 0.1386 0.1386 0.6386 (multiplicity 16)  3 Be 2.32
3 Sb 0.2500 0.2500 0.2500 (multiplicity 4)  12 Be 3.09, 4 La 3.19

=====

Record 2
Density functional theory data (PBE) for an optimized crystal structure of Rb2TiI4.

Size of the total moment ... 0.2857 μB per atom
D(E_F) ... 0.788 states/eV per atom
Total DFT energy (no corrections) ... -23.54 eV per formula unit

Unit cell a=5.7424 b=5.7424 c=18.5314 alpha=90.00 beta=90.00 gamma=90.00
Closest atoms and distances in Å follow each position.
Space group I4/mmm (No. 139)
Inequivalent atoms, fractional coordinates:
1 Rb 0.0000 0.0000 0.1408 (multiplicity 4)  9 I 3.70-4.08
2 Ti 0.0000 0.0000 0.5000 (multiplicity 2)  6 I 2.87-2.95
3 I 0.0000 0.0000 0.3406 (multiplicity 4)  1 Ti 2.95
4 I 0.0000 0.5000 0.0000 (multiplicity 4)  2 Ti 2.87

=====

Record 3
Density functional theory data (PBE) for an optimized crystal structure of LuCdRh.

Size of the total moment ... 0.0000 μB per atom
Formation energy from the elements ... -492 meV per atom
D(E_F) ... 0.438 states/eV per atom
Total DFT energy (no corrections) ... -14.26 eV per formula unit

Unit cell a=6.4990 b=6.4990 c=6.4990 alpha=90.00 beta=90.00 gamma=90.00
Closest atoms and distances in Å follow each position.
Space group F-43m (No. 216)
Inequivalent atoms, fractional coordinates:
1 Lu 0.0000 0.0000 0.0000 (multiplicity 4)  4 Rh 2.81
2 Cd 0.0000 0.0000 0.5000 (multiplicity 4)  4 Rh 2.81
3 Rh 0.2500 0.2500 0.7500 (multiplicity 4)  4 Cd 2.81, 4 Lu 2.81

=====

The lowest D(E_F) belongs to which entry?
LuCdRh

=====

Repeat the first record exactly.
Density functional theory data (PBE) for an optimized crystal structure of LaBe4Sb.

Size of the total moment ... 0.0000 μB per atom
D(E_F) ... 0.513 states/eV per atom
Total DFT energy (no corrections) ... -21.46 eV per formula unit

Unit cell a=7.3663 b=7.3663 c=7.3663 alpha=90.00 beta=90.00 gamma=90.00
Closest atoms and distances in Å follow each position.
Space group F-43m (No. 216)
Inequivalent atoms, fractional coordinates:
1 La 0.0000 0.0000 0.0000 (multiplicity 4)  12 Be 3.03, 4 Sb 3.19
2 Be 0.1386 0.1386 0.6386 (multiplicity 16)  3 Be 2.32
3 Sb 0.2500 0.2500 0.2500 (multiplicity 4)  12 Be 3.09, 4 La 3.19